## P
Here is a relaxed structure of Pm2Nd8Mg from Alexandria. Energies are from GGA-PBE.

Geometry as POSCAR:
```
Pm2Nd8Mg
1.0
-0.156 3.353 -4.607
-4.009 -5.462 -3.839
-5.335 4.540 7.011
Nd Mg Pm
8 1 2
direct
0.366 0.147 0.731
0.826 0.826 0.651
0.000 0.264 0.000
0.000 0.736 0.000
0.366 0.585 0.731
0.634 0.415 0.269
0.174 0.174 0.349
0.634 0.853 0.269
0.500 0.000 0.000
0.805 0.305 0.610
0.195 0.695 0.390
```

Values from the calculation:
V = 384.3 Å³/f.u.
Magnetization = 0.0000 μB/atom
Space-group type = Immm (71)

---

## Q
Here is a relaxed structure of Pm2Nd8Mg from Alexandria. Energies are from GGA-PBE.

Geometry as POSCAR:
```
Pm2Nd8Mg
1.0
6.029 0.461 0.383
0.777 8.254 -0.570
0.777 0.949 8.219
Nd Pm Mg
8 2 1
direct
0.290 0.422 0.422
0.215 0.865 0.348
0.785 0.652 0.135
0.710 0.578 0.578
0.910 0.269 0.269
0.090 0.731 0.731
0.785 0.135 0.652
0.215 0.348 0.865
0.510 0.138 0.138
0.490 0.862 0.862
0.000 0.000 0.000
```

Values from the calculation:
V = 407.0 Å³/f.u.
Magnetization = 0.0000 μB/atom
Space-group type = C2/m (12)

---

Most stable structure: P